[1]
The following is a PBE calculation of a geometry-optimized Hg2F structure, from OQMD via LeMat-Bulk.

Cell and atoms, written as POSCAR:
```
Hg2F
1.0
0.000 3.975 3.975
3.975 0.000 3.975
3.975 3.975 0.000
Hg F
4 2
direct
0.000 0.000 0.000
0.000 0.000 0.500
0.000 0.500 0.000
0.500 0.000 0.000
0.375 0.375 0.375
0.625 0.625 0.625
```

Results
**Mass density**: 11.11 g/cm³
**Electronic total energy**: -1.151 eV/atom

=====

[2]
The following is a PBE calculation of a geometry-optimized HgF2 structure, from OQMD via LeMat-Bulk.

Cell and atoms, written as POSCAR:
```
HgF2
1.0
5.893 0.000 0.000
0.000 4.430 0.000
0.000 0.000 6.409
Hg F
4 8
direct
0.248 0.250 0.009
0.252 0.750 0.509
0.748 0.250 0.491
0.752 0.750 0.991
0.073 0.250 0.640
0.092 0.750 0.871
0.408 0.250 0.371
0.427 0.750 0.140
0.573 0.250 0.860
0.592 0.750 0.629
0.908 0.250 0.129
0.927 0.750 0.360
```

Results
**Mass density**: 9.47 g/cm³
**Electronic total energy**: -2.699 eV/atom

=====

[3]
The following is a PBE calculation of a geometry-optimized HgF structure, from OQMD via LeMat-Bulk.

Cell and atoms, written as POSCAR:
```
HgF
1.0
5.498 0.000 0.000
0.000 5.498 0.000
0.000 0.000 5.498
Hg F
4 4
direct
0.000 0.000 0.000
0.000 0.500 0.500
0.500 0.000 0.500
0.500 0.500 0.000
0.250 0.250 0.250
0.250 0.750 0.750
0.750 0.250 0.750
0.750 0.750 0.250
```

Results
**Mass density**: 8.78 g/cm³
**Electronic total energy**: -1.901 eV/atom

=====

[4]
The following is a PBE calculation of a geometry-optimized HgF4 structure, from OQMD via LeMat-Bulk.

Cell and atoms, written as POSCAR:
```
HgF4
1.0
0.000 5.211 2.661
4.719 0.000 2.661
4.719 5.211 0.000
Hg F
2 8
direct
0.000 0.000 0.000
0.250 0.250 0.250
0.124 0.392 0.608
0.128 0.857 0.640
0.373 0.642 0.858
0.392 0.124 0.877
0.610 0.875 0.122
0.642 0.373 0.126
0.857 0.128 0.375
0.875 0.610 0.393
```

Results
**Mass density**: 7.02 g/cm³
**Electronic total energy**: -2.350 eV/atom

=====

[5]
The following is a PBE calculation of a geometry-optimized HgF2 structure, from OQMD via LeMat-Bulk.

Cell and atoms, written as POSCAR:
```
HgF2
1.0
5.511 0.000 0.000
0.000 5.511 0.000
0.000 0.000 5.511
Hg F
4 8
direct
0.000 0.000 0.000
0.000 0.500 0.500
0.500 0.000 0.500
0.500 0.500 0.000
0.250 0.250 0.250
0.250 0.250 0.750
0.250 0.750 0.250
0.250 0.750 0.750
0.750 0.250 0.250
0.750 0.250 0.750
0.750 0.750 0.250
0.750 0.750 0.750
```

Results
**Mass density**: 9.47 g/cm³
**Electronic total energy**: -2.746 eV/atom

=====

[6]
The following is a PBE calculation of a geometry-optimized Hg5F structure, from OQMD via LeMat-Bulk.

Cell and atoms, written as POSCAR:
```
Hg5F
1.0
5.927 0.000 0.000
-2.964 5.133 0.000
0.000 0.000 5.119
Hg F
5 1
direct
0.000 0.500 0.000
0.333 0.667 0.500
0.500 0.000 0.000
0.500 0.500 0.000
0.667 0.333 0.500
0.000 0.000 0.500
```

Results
**Mass density**: 10.90 g/cm³
**Electronic total energy**: -0.698 eV/atom

=====

[7]
The following is a PBE calculation of a geometry-optimized HgF2 structure, from OQMD via LeMat-Bulk.

Cell and atoms, written as POSCAR:
```
HgF2
1.0
3.798 0.000 0.000
0.000 4.026 0.000
0.000 0.000 5.502
Hg F
2 4
direct
0.250 0.250 0.250
0.750 0.750 0.750
0.250 0.750 0.000
0.250 0.750 0.497
0.750 0.250 0.000
0.750 0.250 0.503
```

Results
**Mass density**: 9.42 g/cm³
**Electronic total energy**: -2.748 eV/atom

=====

[8]
The following is a PBE calculation of a geometry-optimized HgF2 structure, from OQMD via LeMat-Bulk.

Cell and atoms, written as POSCAR:
```
HgF2
1.0
3.702 0.000 0.000
-1.851 3.206 0.000
0.000 0.000 7.151
Hg F
2 4
direct
0.333 0.667 0.000
0.667 0.333 0.500
0.000 0.000 0.374
0.000 0.000 0.874
0.333 0.667 0.637
0.667 0.333 0.137
```

Results
**Mass density**: 9.33 g/cm³
**Electronic total energy**: -2.707 eV/atom